(1)
This record from Alexandria describes a relaxed structure of GaCoPt. The functional is PBE-GGA.

Structure (POSCAR):
```
GaCoPt
1.0
-1.839 -0.649 2.039
2.127 -0.844 1.650
0.271 5.468 0.035
Co Ga Pt
1 1 1
Direct
0.627 0.627 0.254
0.273 0.273 0.546
0.950 0.950 0.900
```

Output
- E (Ha/atom) = -0.207

(2)
This record from Alexandria describes a relaxed structure of Ta2Co3Ge. The functional is PBE-GGA.

Structure (POSCAR):
```
Ta2Co3Ge
1.0
-2.550 2.599 -3.262
1.454 -4.538 -1.089
-6.519 -2.781 2.881
Ge Co Ta
2 6 4
Direct
0.000 0.000 0.000
0.000 0.000 0.500
0.172 0.828 0.250
0.828 0.172 0.750
0.172 0.344 0.250
0.344 0.172 0.750
0.828 0.656 0.750
0.656 0.828 0.250
0.667 0.333 0.060
0.333 0.667 0.940
0.333 0.667 0.560
0.667 0.333 0.440
```

Output
- E (Ha/atom) = -0.317

(3)
This record from Alexandria describes a relaxed structure of Dy2Ho. The functional is PBE-GGA.

Structure (POSCAR):
```
Dy2Ho
1.0
4.987 0.000 0.000
-2.494 5.270 -1.827
0.000 0.082 7.055
Dy Ho
4 2
Direct
0.833 0.666 0.417
0.500 0.000 0.750
0.500 0.000 0.250
0.167 0.334 0.583
0.833 0.667 0.917
0.167 0.333 0.083
```

Output
- energy relative to the lowest polymorph listed for this composition (eV/atom) = 0.012
- E (Ha/atom) = -0.168

(4)
This record from Alexandria describes a relaxed structure of Nb2CrSi2. The functional is PBE-GGA.

Structure (POSCAR):
```
Nb2CrSi2
1.0
6.480 0.000 0.000
0.000 6.480 0.000
0.000 0.000 3.602
Cr Si Nb
2 4 4
Direct
0.500 0.500 0.000
0.000 0.000 0.000
0.369 0.869 0.000
0.131 0.369 0.000
0.631 0.131 0.000
0.869 0.631 0.000
0.672 0.828 0.500
0.328 0.172 0.500
0.828 0.328 0.500
0.172 0.672 0.500
```

Output
- uncorrected formation energy (meV/atom) = -500
- E (Ha/atom) = -0.317

(5)
This record from Alexandria describes a relaxed structure of Pr4In3Pd. The functional is PBE-GGA.

Structure (POSCAR):
```
Pr4In3Pd
1.0
-2.075 -1.291 2.783
-2.734 -0.745 -2.384
6.211 -15.136 -2.392
Pr In Pd
4 3 1
Direct
0.000 0.000 0.369
0.000 0.000 0.108
0.000 0.000 0.631
0.000 0.000 0.892
0.500 0.500 0.761
0.500 0.500 0.239
0.500 0.500 0.500
0.500 0.500 0.000
```

Output
- E (Ha/atom) = -0.169

(6)
This record from Alexandria describes a relaxed structure of KBa2LiPd. The functional is PBE-GGA.

Structure (POSCAR):
```
KBa2LiPd
1.0
6.222 0.000 0.000
0.000 6.222 0.000
0.000 0.000 6.372
Ba K Pd Li
2 1 1 1
Direct
0.500 0.000 0.000
0.000 0.500 0.000
0.000 0.000 0.500
0.000 0.000 0.000
0.500 0.500 0.500
```

Output
- energy relative to the lowest polymorph listed for this composition (eV/atom) = 0.066
- E (Ha/atom) = -0.091

(7)
This record from Alexandria describes a relaxed structure of MnZnMo2. The functional is PBE-GGA.

Structure (POSCAR):
```
MnZnMo2
1.0
4.961 -0.016 0.000
-2.120 4.486 0.000
0.000 0.000 2.618
Mo Zn Mn
2 1 1
Direct
0.500 0.500 0.000
0.000 0.000 0.000
0.500 0.000 0.500
0.000 0.500 0.500
```

Output
- E (Ha/atom) = -0.288

(8)
This record from Alexandria describes a relaxed structure of TlRhCl2. The functional is PBE-GGA.

Structure (POSCAR):
```
TlRhCl2
1.0
4.422 -0.051 -0.321
0.159 6.618 1.070
0.290 1.308 3.767
Tl Cl Rh
1 2 1
Direct
0.000 0.500 0.500
0.500 0.500 0.000
0.000 0.000 0.000
0.500 0.000 0.500
```

Output
- energy relative to the lowest polymorph listed for this composition (eV/atom) = 0.453
- uncorrected formation energy (meV/atom) = 12
- E (Ha/atom) = -0.123

(9)
This record from Alexandria describes a relaxed structure of YHPd2. The functional is PBE-GGA.

Structure (POSCAR):
```
YHPd2
1.0
-1.069 3.262 2.982
1.212 4.307 -0.810
-3.163 3.093 -1.051
Pd Y H
2 1 1
Direct
0.750 0.750 0.750
0.250 0.250 0.250
0.500 0.500 0.500
0.000 0.000 0.000
```

Output
- energy relative to the lowest polymorph listed for this composition (eV/atom) = 0.473
- E (Ha/atom) = -0.187

(10)
This record from Alexandria describes a relaxed structure of LiZrSn. The functional is PBE-GGA.

Structure (POSCAR):
```
LiZrSn
1.0
3.968 0.000 0.000
0.000 3.968 0.000
0.000 0.000 7.947
Li Zr Sn
2 2 2
Direct
0.500 0.500 0.500
0.000 0.000 0.500
0.500 0.000 0.120
0.000 0.500 0.880
0.500 0.000 0.748
0.000 0.500 0.252
```

Output
- E (Ha/atom) = -0.193

(11)
This record from Alexandria describes a relaxed structure of PmPr2Sb. The functional is PBE-GGA.

Structure (POSCAR):
```
PmPr2Sb
1.0
-0.750 -0.035 -4.160
4.141 -0.412 -0.743
-0.674 -7.108 0.182
Pm Pr Sb
1 2 1
Direct
0.500 0.500 0.000
0.000 0.000 0.720
0.000 0.000 0.280
0.500 0.500 0.500
```

Output
- energy relative to the lowest polymorph listed for this composition (eV/atom) = 0.070
- uncorrected formation energy (meV/atom) = -491
- E (Ha/atom) = -0.187

(12)
This record from Alexandria describes a relaxed structure of Tl6In12Ag. The functional is PBE-GGA.

Structure (POSCAR):
```
Tl6In12Ag
1.0
8.135 0.472 -1.448
-1.805 7.946 -1.448
0.355 0.472 8.255
In Tl Ag
12 6 1
Direct
0.433 0.477 0.808
0.752 0.891 0.213
0.567 0.523 0.192
0.808 0.433 0.477
0.787 0.248 0.109
0.891 0.213 0.752
0.109 0.787 0.248
0.192 0.567 0.523
0.477 0.808 0.433
0.523 0.192 0.567
0.213 0.752 0.891
0.248 0.109 0.787
0.412 0.097 0.173
0.827 0.588 0.903
0.173 0.412 0.097
0.903 0.827 0.588
0.097 0.173 0.412
0.588 0.903 0.827
0.000 0.000 0.000
```

Output
- E (Ha/atom) = -0.094